This record from Alexandria via LeMat-Bulk describes AcLa2As after structural relaxation. The functional is PBE.

Calculated values
D(E_F), states/eV per cell: 11.12
Uncorrected energy, eV per atom: -5.348
Magnetic moment, μB/f.u.: 0.2
Energy above the lowest structure with this stoichiometry, meV per atom: 0
Energy of formation from the pure elements, meV per atom: -695

Unit cell a=4.1462 b=4.1462 c=29.6481 alpha=90.00 beta=90.00 gamma=120.00
Closest atoms and distances in Å follow each position.
Space group R3m (No. 160, hexagonal axes)
Inequivalent atoms, fractional coordinates:
Ac  0.0000  0.0000  0.0000 x3  6 La 3.94-3.96, 6 Ac 4.15
La  0.0000  0.0000  0.5604 x3  3 As 3.00
La  0.0000  0.0000  0.7724 x3  3 As 2.99
As  0.0000  0.0000  0.1663 x3  6 La 2.99-3.00